[1]
{"formula": "Tb2HoSc3Sb6", "functional": "PBE-GGA", "state": "relaxed", "cell": [[3.709, -6.427, 0.000], [3.709, 6.427, 0.000], [-2.472, 0.000, 6.972]], "species": ["Tb", "Tb", "Ho", "Sc", "Sc", "Sc", "Sb", "Sb", "Sb", "Sb", "Sb", "Sb"], "frac_coords": [[0.166, 0.834, 0.000], [0.834, 0.166, 0.000], [0.500, 0.500, 0.000], [0.000, 0.000, 0.500], [0.333, 0.667, 0.500], [0.667, 0.333, 0.500], [0.080, 0.412, 0.735], [0.257, 0.257, 0.266], [0.412, 0.080, 0.735], [0.588, 0.920, 0.265], [0.743, 0.743, 0.734], [0.920, 0.588, 0.265]], "energy_ev_per_atom": -5.828, "magnetic_moment_mub_per_cell": 0.000, "space_group": "C2/m (12)", "vol_a3_per_atom": 27.70}


[2]
{"formula": "HoScSbTe", "functional": "PBE-GGA", "state": "relaxed", "cell": [[2.091, 1.207, 7.301], [-2.091, 1.207, 7.301], [0.000, -2.414, 7.301]], "species": ["Ho", "Sc", "Sb", "Te"], "frac_coords": [[0.000, 0.000, 0.000], [0.822, 0.822, 0.822], [0.418, 0.418, 0.418], [0.240, 0.240, 0.240]], "energy_ev_per_atom": -5.650, "magnetic_moment_mub_per_cell": 0.000, "space_group": "R3m (160)", "vol_a3_per_atom": 27.64}


[3]
{"formula": "HoTh2ScSb4", "functional": "PBE-GGA", "state": "relaxed", "cell": [[7.544, 0.000, 0.000], [0.000, 4.414, 0.000], [-2.590, 0.000, 7.190]], "species": ["Ho", "Th", "Th", "Sc", "Sb", "Sb", "Sb", "Sb"], "frac_coords": [[0.000, 0.000, 0.000], [0.500, 0.000, 0.500], [0.500, 0.500, 0.000], [0.000, 0.500, 0.500], [0.231, 0.000, 0.738], [0.234, 0.500, 0.250], [0.766, 0.500, 0.750], [0.769, 0.000, 0.262]], "energy_ev_per_atom": -6.238, "magnetic_moment_mub_per_cell": 0.000, "space_group": "P2/m (10)", "vol_a3_per_atom": 29.93}


[4]
{"formula": "HoTm2ScSb4", "functional": "PBE-GGA", "state": "relaxed", "cell": [[-3.046, 3.046, 6.085], [3.046, -3.046, 6.085], [3.046, 3.046, -6.085]], "species": ["Ho", "Tm", "Tm", "Sc", "Sb", "Sb", "Sb", "Sb"], "frac_coords": [[0.000, 0.000, 0.000], [0.250, 0.750, 0.500], [0.750, 0.250, 0.500], [0.500, 0.500, 0.000], [0.000, 0.500, 0.500], [0.255, 0.255, 0.000], [0.500, 0.000, 0.500], [0.745, 0.745, 0.000]], "energy_ev_per_atom": -5.580, "magnetic_moment_mub_per_cell": 0.000, "space_group": "I4/mmm (139)", "vol_a3_per_atom": 28.23}


[5]
{"formula": "Y2HoScSb4", "functional": "PBE-GGA", "state": "relaxed", "cell": [[7.502, 0.000, 0.000], [0.000, 4.334, 0.000], [-2.502, 0.000, 7.073]], "species": ["Y", "Y", "Ho", "Sc", "Sb", "Sb", "Sb", "Sb"], "frac_coords": [[0.000, 0.000, 0.000], [0.000, 0.500, 0.500], [0.500, 0.000, 0.500], [0.500, 0.500, 0.000], [0.256, 0.500, 0.246], [0.261, 0.000, 0.760], [0.739, 0.000, 0.240], [0.744, 0.500, 0.754]], "energy_ev_per_atom": -6.126, "magnetic_moment_mub_per_cell": 0.000, "space_group": "P2/m (10)", "vol_a3_per_atom": 28.75}


[6]
{"formula": "YHo2ScSb4", "functional": "PBE-GGA", "state": "relaxed", "cell": [[-3.062, 3.062, 6.115], [3.062, -3.062, 6.115], [3.062, 3.062, -6.115]], "species": ["Y", "Ho", "Ho", "Sc", "Sb", "Sb", "Sb", "Sb"], "frac_coords": [[0.000, 0.000, 0.000], [0.250, 0.750, 0.500], [0.750, 0.250, 0.500], [0.500, 0.500, 0.000], [0.000, 0.500, 0.500], [0.256, 0.256, 0.000], [0.500, 0.000, 0.500], [0.744, 0.744, 0.000]], "energy_ev_per_atom": -5.874, "magnetic_moment_mub_per_cell": 0.000, "space_group": "I4/mmm (139)", "vol_a3_per_atom": 28.67}


[7]
{"formula": "Ho2ZrScSb4", "functional": "PBE-GGA", "state": "relaxed", "cell": [[7.356, 0.000, 0.000], [0.000, 4.249, 0.000], [-2.441, 0.000, 6.960]], "species": ["Ho", "Ho", "Zr", "Sc", "Sb", "Sb", "Sb", "Sb"], "frac_coords": [[0.000, 0.000, 0.000], [0.500, 0.500, 0.000], [0.000, 0.500, 0.500], [0.500, 0.000, 0.500], [0.246, 0.000, 0.737], [0.255, 0.500, 0.264], [0.745, 0.500, 0.736], [0.754, 0.000, 0.263]], "energy_ev_per_atom": -6.005, "magnetic_moment_mub_per_cell": 0.000, "space_group": "P2/m (10)", "vol_a3_per_atom": 27.19}


[8]
{"formula": "Ho3SbSe3", "functional": "PBE-GGA", "state": "relaxed", "cell": [[4.106, 2.370, 7.047], [-4.106, 2.370, 7.047], [0.000, -4.741, 7.047]], "species": ["Ho", "Ho", "Ho", "Ho", "Ho", "Ho", "Sb", "Sb", "Se", "Se", "Se", "Se", "Se", "Se"], "frac_coords": [[0.017, 0.424, 0.791], [0.209, 0.983, 0.576], [0.424, 0.791, 0.017], [0.576, 0.209, 0.983], [0.791, 0.017, 0.424], [0.983, 0.576, 0.209], [0.166, 0.166, 0.166], [0.834, 0.834, 0.834], [0.130, 0.667, 0.372], [0.333, 0.628, 0.870], [0.372, 0.130, 0.667], [0.628, 0.870, 0.333], [0.667, 0.372, 0.130], [0.870, 0.333, 0.628]], "energy_ev_per_atom": -5.562, "magnetic_moment_mub_per_cell": 0.000, "space_group": "R-3 (148)", "vol_a3_per_atom": 29.39}


[9]
{"formula": "Ho5Sb2Se2", "functional": "PBE-GGA", "state": "relaxed", "cell": [[7.387, -3.911, 0.000], [7.387, 3.911, 0.000], [0.000, 0.000, 7.931]], "species": ["Ho", "Ho", "Ho", "Ho", "Ho", "Ho", "Ho", "Ho", "Ho", "Ho", "Sb", "Sb", "Sb", "Sb", "Se", "Se", "Se", "Se"], "frac_coords": [[0.000, 0.000, 0.000], [0.019, 0.696, 0.652], [0.196, 0.519, 0.152], [0.304, 0.981, 0.652], [0.481, 0.804, 0.152], [0.500, 0.500, 0.500], [0.519, 0.196, 0.848], [0.696, 0.019, 0.348], [0.804, 0.481, 0.848], [0.981, 0.304, 0.348], [0.144, 0.856, 0.355], [0.356, 0.644, 0.855], [0.644, 0.356, 0.145], [0.856, 0.144, 0.645], [0.195, 0.195, 0.000], [0.305, 0.305, 0.500], [0.695, 0.695, 0.500], [0.805, 0.805, 0.000]], "energy_ev_per_atom": -5.384, "magnetic_moment_mub_per_cell": 0.000, "space_group": "Cmce (64)", "vol_a3_per_atom": 25.46}


[10]
{"formula": "HoSbSe3", "functional": "PBE-GGA", "state": "relaxed", "cell": [[7.236, 0.000, 0.000], [0.000, 4.071, 0.000], [-0.022, 0.000, 10.371]], "species": ["Ho", "Ho", "Sb", "Sb", "Se", "Se", "Se", "Se", "Se", "Se"], "frac_coords": [[0.074, 0.250, 0.171], [0.926, 0.750, 0.829], [0.414, 0.250, 0.808], [0.586, 0.750, 0.192], [0.094, 0.250, 0.678], [0.232, 0.750, 0.006], [0.415, 0.250, 0.325], [0.585, 0.750, 0.675], [0.768, 0.250, 0.994], [0.906, 0.750, 0.322]], "energy_ev_per_atom": -4.886, "magnetic_moment_mub_per_cell": 0.000, "space_group": "P2_1/m (11)", "de_polymorph_mev_per_atom": 0.0, "vol_a3_per_atom": 30.55}


[11]
{"formula": "HoSbSe2", "functional": "PBE-GGA", "state": "relaxed", "cell": [[2.013, 1.162, 8.929], [-2.013, 1.162, 8.929], [0.000, -2.324, 8.929]], "species": ["Ho", "Sb", "Se", "Se"], "frac_coords": [[0.000, 0.000, 0.000], [0.500, 0.500, 0.500], [0.104, 0.104, 0.104], [0.896, 0.896, 0.896]], "energy_ev_per_atom": -4.256, "magnetic_moment_mub_per_cell": 0.000, "space_group": "R-3m (166)", "vol_a3_per_atom": 31.33}


[12]
{"formula": "Ho3Sb2Se", "functional": "PBE-GGA", "state": "relaxed", "cell": [[7.672, -4.438, 0.000], [7.672, 4.438, 0.000], [0.000, 0.000, 5.990]], "species": ["Ho", "Ho", "Ho", "Ho", "Ho", "Ho", "Sb", "Sb", "Sb", "Sb", "Se", "Se"], "frac_coords": [[0.157, 0.843, 0.750], [0.168, 0.512, 0.250], [0.488, 0.832, 0.250], [0.512, 0.168, 0.750], [0.832, 0.488, 0.750], [0.843, 0.157, 0.250], [0.166, 0.503, 0.750], [0.497, 0.834, 0.750], [0.503, 0.166, 0.250], [0.834, 0.497, 0.250], [0.160, 0.840, 0.250], [0.840, 0.160, 0.750]], "energy_ev_per_atom": -5.321, "magnetic_moment_mub_per_cell": 0.000, "space_group": "Cmcm (63)", "de_polymorph_mev_per_atom": 254.2, "vol_a3_per_atom": 34.00}


[13]
{"formula": "Ho3Sb5Se12", "functional": "PBE-GGA", "state": "relaxed", "cell": [[-8.440, 8.440, 8.440], [8.440, -8.440, 8.440], [8.440, 8.440, -8.440]], "species": ["Ho", "Ho", "Ho", "Ho", "Ho", "Ho", "Ho", "Ho", "Ho", "Ho", "Ho", "Ho", "Sb", "Sb", "Sb", "Sb", "Sb", "Sb", "Sb", "Sb", "Sb", "Sb", "Sb", "Sb", "Sb", "Sb", "Sb", "Sb", "Sb", "Sb", "Sb", "Sb", "Se", "Se", "Se", "Se", "Se", "Se", "Se", "Se", "Se", "Se", "Se", "Se", "Se", "Se", "Se", "Se", "Se", "Se", "Se", "Se", "Se", "Se", "Se", "Se", "Se", "Se", "Se", "Se", "Se", "Se", "Se", "Se", "Se", "Se", "Se", "Se", "Se", "Se", "Se", "Se", "Se", "Se", "Se", "Se", "Se", "Se", "Se", "Se"], "frac_coords": [[0.125, 0.250, 0.375], [0.125, 0.375, 0.750], [0.250, 0.375, 0.125], [0.250, 0.875, 0.625], [0.375, 0.125, 0.250], [0.375, 0.750, 0.125], [0.625, 0.250, 0.875], [0.625, 0.875, 0.750], [0.750, 0.125, 0.375], [0.750, 0.625, 0.875], [0.875, 0.625, 0.250], [0.875, 0.750, 0.625], [0.000, 0.000, 0.000], [0.000, 0.000, 0.500], [0.000, 0.500, 0.000], [0.000, 0.500, 0.500], [0.125, 0.750, 0.875], [0.125, 0.875, 0.250], [0.250, 0.125, 0.875], [0.250, 0.625, 0.375], [0.375, 0.250, 0.625], [0.375, 0.625, 0.750], [0.500, 0.000, 0.000], [0.500, 0.000, 0.500], [0.500, 0.500, 0.000], [0.500, 0.500, 0.500], [0.625, 0.375, 0.250], [0.625, 0.750, 0.375], [0.750, 0.375, 0.625], [0.750, 0.875, 0.125], [0.875, 0.125, 0.750], [0.875, 0.250, 0.125], [0.055, 0.224, 0.140], [0.055, 0.332, 0.915], [0.084, 0.724, 0.668], [0.084, 0.860, 0.415], [0.085, 0.640, 0.416], [0.085, 0.945, 0.668], [0.140, 0.055, 0.224], [0.140, 0.585, 0.916], [0.168, 0.224, 0.584], [0.168, 0.445, 0.585], [0.224, 0.140, 0.055], [0.224, 0.584, 0.168], [0.276, 0.332, 0.916], [0.276, 0.445, 0.360], [0.332, 0.915, 0.055], [0.332, 0.916, 0.276], [0.360, 0.276, 0.445], [0.360, 0.584, 0.915], [0.415, 0.084, 0.860], [0.415, 0.832, 0.555], [0.416, 0.085, 0.640], [0.416, 0.832, 0.776], [0.445, 0.360, 0.276], [0.445, 0.585, 0.168], [0.555, 0.415, 0.832], [0.555, 0.640, 0.724], [0.584, 0.168, 0.224], [0.584, 0.915, 0.360], [0.585, 0.168, 0.445], [0.585, 0.916, 0.140], [0.640, 0.416, 0.085], [0.640, 0.724, 0.555], [0.668, 0.084, 0.724], [0.668, 0.085, 0.945], [0.724, 0.555, 0.640], [0.724, 0.668, 0.084], [0.776, 0.416, 0.832], [0.776, 0.860, 0.945], [0.832, 0.555, 0.415], [0.832, 0.776, 0.416], [0.860, 0.415, 0.084], [0.860, 0.945, 0.776], [0.915, 0.055, 0.332], [0.915, 0.360, 0.584], [0.916, 0.140, 0.585], [0.916, 0.276, 0.332], [0.945, 0.668, 0.085], [0.945, 0.776, 0.860]], "energy_ev_per_atom": -4.469, "magnetic_moment_mub_per_cell": 0.000, "space_group": "Ia-3d (230)", "vol_a3_per_atom": 30.06}


[14]
{"formula": "HoSb2Se4", "functional": "PBE-GGA", "state": "relaxed", "cell": [[2.137, -6.648, 0.000], [2.137, 6.648, 0.000], [0.000, 0.000, 13.461]], "species": ["Ho", "Ho", "Sb", "Sb", "Sb", "Sb", "Se", "Se", "Se", "Se", "Se", "Se", "Se", "Se"], "frac_coords": [[0.123, 0.877, 0.750], [0.877, 0.123, 0.250], [0.375, 0.625, 0.561], [0.375, 0.625, 0.939], [0.625, 0.375, 0.061], [0.625, 0.375, 0.439], [0.000, 0.000, 0.000], [0.000, 0.000, 0.500], [0.277, 0.723, 0.124], [0.277, 0.723, 0.376], [0.481, 0.519, 0.750], [0.519, 0.481, 0.250], [0.723, 0.277, 0.624], [0.723, 0.277, 0.876]], "energy_ev_per_atom": -4.480, "magnetic_moment_mub_per_cell": 0.000, "space_group": "Cmcm (63)", "vol_a3_per_atom": 27.32}


[15]
{"formula": "Ho6Sb2Se", "functional": "PBE-GGA", "state": "relaxed", "cell": [[6.506, 0.000, 0.000], [0.000, 7.914, 0.000], [-6.338, 0.000, 9.882]], "species": ["Ho", "Ho", "Ho", "Ho", "Ho", "Ho", "Ho", "Ho", "Ho", "Ho", "Ho", "Ho", "Sb", "Sb", "Sb", "Sb", "Se", "Se"], "frac_coords": [[0.088, 0.190, 0.450], [0.088, 0.310, 0.950], [0.308, 0.671, 0.449], [0.308, 0.829, 0.949], [0.368, 0.027, 0.230], [0.368, 0.473, 0.730], [0.632, 0.527, 0.270], [0.632, 0.973, 0.770], [0.692, 0.171, 0.051], [0.692, 0.329, 0.551], [0.912, 0.690, 0.050], [0.912, 0.810, 0.550], [0.167, 0.121, 0.745], [0.167, 0.379, 0.245], [0.833, 0.621, 0.755], [0.833, 0.879, 0.255], [0.500, 0.000, 0.500], [0.500, 0.500, 0.000]], "energy_ev_per_atom": -5.217, "magnetic_moment_mub_per_cell": 0.000, "space_group": "P2_1/c (14)", "vol_a3_per_atom": 28.27}


[16]
{"formula": "Ho3Sb2Se", "functional": "PBE-GGA", "state": "relaxed", "cell": [[-2.137, 3.032, 6.385], [2.137, -3.032, 6.385], [2.137, 3.032, -6.385]], "species": ["Ho", "Ho", "Ho", "Sb", "Sb", "Se"], "frac_coords": [[0.000, 0.000, 0.000], [0.339, 0.339, 0.000], [0.661, 0.661, 0.000], [0.169, 0.669, 0.500], [0.831, 0.331, 0.500], [0.500, 0.000, 0.500]], "energy_ev_per_atom": -5.576, "magnetic_moment_mub_per_cell": 0.000, "space_group": "Immm (71)", "de_polymorph_mev_per_atom": 0.0, "vol_a3_per_atom": 27.59}


[17]
{"formula": "Ho3SbSe6", "functional": "PBE-GGA", "state": "relaxed", "cell": [[5.523, -6.970, 0.000], [5.523, 6.970, 0.000], [0.000, 0.000, 7.060]], "species": ["Ho", "Ho", "Ho", "Ho", "Ho", "Ho", "Sb", "Sb", "Se", "Se", "Se", "Se", "Se", "Se", "Se", "Se", "Se", "Se", "Se", "Se"], "frac_coords": [[0.093, 0.907, 0.500], [0.216, 0.416, 0.398], [0.416, 0.216, 0.898], [0.584, 0.784, 0.398], [0.784, 0.584, 0.898], [0.907, 0.093, 0.000], [0.321, 0.679, 0.880], [0.679, 0.321, 0.380], [0.062, 0.598, 0.676], [0.133, 0.199, 0.704], [0.199, 0.133, 0.204], [0.268, 0.732, 0.261], [0.402, 0.938, 0.676], [0.492, 0.508, 0.629], [0.508, 0.492, 0.129], [0.598, 0.062, 0.176], [0.732, 0.268, 0.761], [0.801, 0.867, 0.704], [0.867, 0.801, 0.204], [0.938, 0.402, 0.176]], "energy_ev_per_atom": -5.278, "magnetic_moment_mub_per_cell": 0.000, "space_group": "Cmc2_1 (36)", "vol_a3_per_atom": 27.17}


[18]
{"formula": "HoSbSe3", "functional": "PBE-GGA", "state": "relaxed", "cell": [[6.948, 0.000, 0.000], [-3.474, 6.017, 0.000], [0.000, 0.000, 7.084]], "species": ["Ho", "Ho", "Sb", "Sb", "Se", "Se", "Se", "Se", "Se", "Se"], "frac_coords": [[0.000, 0.000, 0.000], [0.000, 0.000, 0.500], [0.333, 0.667, 0.000], [0.333, 0.667, 0.500], [0.004, 0.329, 0.250], [0.004, 0.675, 0.750], [0.325, 0.329, 0.750], [0.325, 0.996, 0.250], [0.671, 0.675, 0.250], [0.671, 0.996, 0.750]], "energy_ev_per_atom": -4.767, "magnetic_moment_mub_per_cell": 0.000, "space_group": "P-6c2 (188)", "de_polymorph_mev_per_atom": 118.6, "vol_a3_per_atom": 29.61}


[19]
{"formula": "Ho4SiSbSe2", "functional": "PBE-GGA", "state": "relaxed", "cell": [[7.189, 0.000, 0.000], [0.000, 4.161, 0.000], [-2.414, 0.000, 6.843]], "species": ["Ho", "Ho", "Ho", "Ho", "Si", "Sb", "Se", "Se"], "frac_coords": [[0.240, 0.000, 0.234], [0.248, 0.500, 0.764], [0.752, 0.500, 0.236], [0.760, 0.000, 0.766], [0.000, 0.500, 0.000], [0.000, 0.000, 0.500], [0.500, 0.000, 0.000], [0.500, 0.500, 0.500]], "energy_ev_per_atom": -5.725, "magnetic_moment_mub_per_cell": 0.000, "space_group": "P2/m (10)", "vol_a3_per_atom": 25.59}


| no. | formation energy without anion corrections (eV per atom) |
| --- | --- |
| 1 | -1.03 |
| 2 | -1.11 |
| 3 | -0.96 |
| 4 | -1.04 |
| 5 | -1.09 |
| 6 | -1.07 |
| 7 | -0.94 |
| 8 | -1.52 |
| 9 | -1.15 |
| 10 | -1.05 |
| 11 | -0.34 |
| 12 | -1.08 |
| 13 | -0.66 |
| 14 | -0.66 |
| 15 | -0.86 |
| 16 | -1.33 |
| 17 | -1.40 |
| 18 | -0.94 |
| 19 | -1.37 |